1.
Material: Rb3SnAu3
Method: DFT, PBE
State: relaxed

Properties
DFT total energy = -34.72 eV for the cell shown
SG = Cmcm (63)
DOS(E_F) = 6.06 states/eV/cell
energy relative to the lowest polymorph listed for this composition = 1.39 eV/f.u.
ΔH_f (0 K) = -0.09 eV/atom

Lattice parameters (Å, degrees): 6.9899 10.7130 10.7120 119.97 90.00 90.00
Fractional positions:
Au1 0.2500 0.3749 0.1878
Au2 0.7500 0.1871 0.3749
Au3 0.2500 0.8129 0.6251
Au4 0.2500 0.8128 0.1866
Au5 0.7500 0.1872 0.8134
Au6 0.7500 0.6251 0.8122
Sn1 0.7500 0.3330 0.6670
Sn2 0.2500 0.6670 0.3330
Rb1 0.7500 0.8108 0.6211
Rb2 0.2500 0.6211 0.8101
Rb3 0.7500 0.3789 0.1899
Rb4 0.2500 0.1892 0.3789
Rb5 0.2500 0.1894 0.8113
Rb6 0.7500 0.8106 0.1887

2.
Material: Tc2Mo
Method: DFT, PBE
State: relaxed

Properties
DFT total energy = -62.24 eV for the cell shown
SG = Amm2 (38)
DOS(E_F) = 8.69 states/eV/cell
energy relative to the lowest polymorph listed for this composition = 0.12 eV/f.u.
ΔH_f (0 K) = 0.15 eV/atom

Lattice parameters (Å, degrees): 7.3074 7.3074 4.5295 90.00 90.00 158.06
Fractional positions:
Tc1 0.1131 0.8869 0.5000
Tc2 0.7772 0.2228 0.5000
Tc3 0.6662 0.3338 0.0000
Tc4 0.4443 0.5557 0.5000
Mo1 0.0018 0.9982 0.0000
Mo2 0.3307 0.6693 0.0000

3.
Material: RuCN
Method: DFT, PBE
State: relaxed

Properties
DFT total energy = -76.53 eV for the cell shown
SG = R3m (160)
DOS(E_F) = 7.24 states/eV/cell
energy relative to the lowest polymorph listed for this composition = 0.00 eV/f.u.
uncorrected formation energy = 1.31 eV per formula unit

Lattice parameters (Å, degrees): 2.9085 2.9085 11.7410 90.00 90.00 120.00
Fractional positions:
C1 0.6667 0.3333 0.8295
C2 0.3333 0.6667 0.1628
C3 0.0000 0.0000 0.4961
Ru1 0.6667 0.3333 0.3843
Ru2 0.0000 0.0000 0.0510
Ru3 0.3333 0.6667 0.7176
N1 0.3333 0.6667 0.2721
N2 0.6667 0.3333 0.9388
N3 0.0000 0.0000 0.6054

4.
Material: BeCuCl2
Method: DFT, PBE
State: relaxed

Properties
DFT total energy = -12.71 eV for the cell shown
SG = R3m (160)
DOS(E_F) = 2.81 states/eV/cell
energy relative to the lowest polymorph listed for this composition = 0.65 eV/f.u.
uncorrected formation energy = -1.20 eV per formula unit

Lattice parameters (Å, degrees): 8.0540 8.0540 8.0540 23.35 23.35 23.35
Fractional positions:
Be1 0.7511 0.7511 0.7511
Cl1 0.0354 0.0354 0.0354
Cl2 0.2207 0.2207 0.2207
Cu1 0.4928 0.4928 0.4928

5.
Material: NaGe3Ru
Method: DFT, PBE
State: relaxed

Properties
DFT total energy = -23.43 eV for the cell shown
SG = Pm-3m (221)
DOS(E_F) = 4.60 states/eV/cell
energy relative to the lowest polymorph listed for this composition = 0.00 eV/f.u.
ΔH_f (0 K) = 0.20 eV/atom

Lattice parameters (Å, degrees): 4.8784 4.8784 4.8784 90.00 90.00 90.00
Each line ends with the local moment (μB).
Fractional positions:
Ru1 0.0000 0.0000 0.0000  0.76
Na1 0.5000 0.5000 0.5000  0.02
Ge1 0.0000 0.5000 0.0000  0.09
Ge2 0.5000 0.0000 0.0000  0.04
Ge3 0.0000 0.0000 0.5000  0.18

6.
Material: LaTbMg2Ag4
Method: DFT, PBE
State: relaxed

Properties
DFT total energy = -26.44 eV for the cell shown
SG = R-3m (166)
DOS(E_F) = 6.22 states/eV/cell
ΔH_f (0 K) = -0.29 eV/atom

Lattice parameters (Å, degrees): 5.0556 5.0556 8.7187 73.15 73.15 60.00
Fractional positions:
Mg1 0.7516 0.7516 0.7453
Mg2 0.2484 0.2484 0.2547
Ag1 0.3786 0.3786 0.8643
Ag2 0.1293 0.1293 0.6122
Ag3 0.8707 0.8707 0.3878
Ag4 0.6214 0.6214 0.1357
La1 0.0000 0.0000 0.0000
Tb1 0.5000 0.5000 0.5000

7.
Material: TlIBrCl2
Method: DFT, PBE
State: relaxed

Properties
DFT total energy = -10.12 eV for the cell shown
SG = P4/mmm (123)
DOS(E_F) = 5.69 states/eV/cell
uncorrected formation energy = -0.83 eV per formula unit

Lattice parameters (Å, degrees): 5.1244 6.4877 5.1244 90.00 90.00 90.00
Fractional positions:
Cl1 0.5000 0.0000 0.0000
Cl2 0.0000 0.0000 0.5000
Br1 0.0000 0.5000 0.0000
Tl1 0.0000 0.0000 0.0000
I1 0.5000 0.5000 0.5000

8.
Material: CaYOs2
Method: DFT, PBE
State: relaxed

Properties
DFT total energy = -29.92 eV for the cell shown
SG = Imm2 (44)
DOS(E_F) = 5.45 states/eV/cell
ΔH_f (0 K) = 0.25 eV/atom

Lattice parameters (Å, degrees): 5.9534 5.9534 4.9248 65.60 65.60 31.19
Fractional positions:
Y1 0.5197 0.5197 0.4805
Os1 0.2754 0.2754 0.2242
Os2 0.9713 0.9713 0.0291
Ca1 0.7336 0.7336 0.7661

9.
Material: BeReCl2
Method: DFT, PBE
State: relaxed

Properties
DFT total energy = -15.05 eV for the cell shown
SG = P4/mmm (123)
DOS(E_F) = 2.67 states/eV/cell
energy relative to the lowest polymorph listed for this composition = 5.22 eV/f.u.
uncorrected formation energy = 4.82 eV per formula unit

Lattice parameters (Å, degrees): 2.9236 4.4088 4.4088 90.00 90.00 90.00
Fractional positions:
Re1 0.5000 0.5000 0.0000
Cl1 0.0000 0.0000 0.0000
Cl2 0.0000 0.5000 0.5000
Be1 0.5000 0.0000 0.5000

10.
Material: TbCd2Ag6
Method: DFT, PBE
State: relaxed

Properties
DFT total energy = -23.87 eV for the cell shown
SG = Immm (71)
DOS(E_F) = 4.52 states/eV/cell
ΔH_f (0 K) = -0.03 eV/atom

Lattice parameters (Å, degrees): 3.2363 8.3596 8.3596 57.68 78.84 78.84
Fractional positions:
Tb1 0.0000 0.0000 0.0000
Ag1 0.5000 0.3274 0.6726
Ag2 0.3256 0.9991 0.3496
Ag3 0.6744 0.6504 0.0009
Ag4 0.3256 0.3496 0.9991
Ag5 0.5000 0.6726 0.3274
Ag6 0.6744 0.0009 0.6504
Cd1 0.1482 0.3518 0.3518
Cd2 0.8518 0.6482 0.6482

11.
Material: SiP2N
Method: DFT, PBE
State: relaxed

Properties
DFT total energy = -44.19 eV for the cell shown
SG = I-42d (122)
DOS(E_F) = 2.58 states/eV/cell
energy relative to the lowest polymorph listed for this composition = 0.00 eV/f.u.
uncorrected formation energy = 2.47 eV per formula unit

Lattice parameters (Å, degrees): 4.5258 4.5258 6.5024 69.63 69.63 90.00
Fractional positions:
N1 0.2500 0.7500 0.5000
N2 0.5000 0.5000 0.0000
Si1 0.0000 0.0000 0.0000
Si2 0.7500 0.2500 0.5000
P1 0.1952 0.6250 0.2500
P2 0.5548 0.1250 0.2500
P3 0.3750 0.4452 0.7500
P4 0.8750 0.8048 0.7500

12.
Material: TbPmGe2Pd2
Method: DFT, PBE
State: relaxed

Properties
DFT total energy = -34.53 eV for the cell shown
SG = P-3m1 (164)
DOS(E_F) = 4.30 states/eV/cell
ΔH_f (0 K) = -0.92 eV/atom

Lattice parameters (Å, degrees): 4.4517 4.4517 7.2443 90.00 90.00 120.00
Fractional positions:
Pd1 0.6667 0.3333 0.2761
Pd2 0.3333 0.6667 0.7239
Tb1 0.0000 0.0000 0.5000
Pm1 0.0000 0.0000 0.0000
Ge1 0.6667 0.3333 0.7406
Ge2 0.3333 0.6667 0.2594

13.
Material: B
Method: DFT, PBE
State: relaxed

Properties
DFT total energy = -117.11 eV for the cell shown
SG = R-3m (166)
DOS(E_F) = 2.66 states/eV/cell
energy relative to the lowest polymorph listed for this composition = 0.17 eV/f.u.
ΔH_f (0 K) = 0.17 eV/atom

Lattice parameters (Å, degrees): 2.8906 2.8906 17.4770 90.00 90.00 120.00
Fractional positions:
B1 0.3333 0.6667 0.8056
B2 0.3333 0.6667 0.5277
B3 0.0000 0.0000 0.0476
B4 0.3333 0.6667 0.4255
B5 0.6667 0.3333 0.0921
B6 0.0000 0.0000 0.7588
B7 0.0000 0.0000 0.8610
B8 0.3333 0.6667 0.7143
B9 0.6667 0.3333 0.3810
B10 0.6667 0.3333 0.5745
B11 0.6667 0.3333 0.1944
B12 0.3333 0.6667 0.9079
B13 0.0000 0.0000 0.1390
B14 0.6667 0.3333 0.4723
B15 0.6667 0.3333 0.2857
B16 0.0000 0.0000 0.9524
B17 0.0000 0.0000 0.2412
B18 0.3333 0.6667 0.6190

14.
Material: LiMg2Pt
Method: DFT, PBE
State: relaxed

Properties
DFT total energy = -13.13 eV for the cell shown
SG = P4/mmm (123)
DOS(E_F) = 1.41 states/eV/cell
energy relative to the lowest polymorph listed for this composition = 0.56 eV/f.u.
ΔH_f (0 K) = -0.50 eV/atom

Lattice parameters (Å, degrees): 3.2844 3.2844 6.5744 90.00 90.00 90.00
Fractional positions:
Li1 0.5000 0.5000 0.7500
Mg1 0.0000 0.0000 0.4728
Mg2 0.0000 0.0000 0.0272
Pt1 0.5000 0.5000 0.2500

15.
Material: PuCd2Hg2
Method: DFT, PBE
State: relaxed

Properties
DFT total energy = -16.86 eV for the cell shown
SG = I4/mmm (139)
DOS(E_F) = 16.17 states/eV/cell
energy relative to the lowest polymorph listed for this composition = 0.00 eV/f.u.
ΔH_f (0 K) = -0.02 eV/atom

Lattice parameters (Å, degrees): 4.3571 4.3571 7.4343 107.02 107.02 90.01
Each line ends with the local moment (μB).
Fractional positions:
Pu1 0.0000 0.0000 0.0000  -5.54
Hg1 0.3956 0.3956 0.7907  -0.01
Hg2 0.6044 0.6044 0.2093  -0.01
Cd1 0.7502 0.2498 0.5000  0.01
Cd2 0.2498 0.7502 0.5000  0.01

16.
Material: RbTi2PPd
Method: DFT, PBE
State: relaxed

Properties
DFT total energy = -22.56 eV for the cell shown
SG = P4/mmm (123)
DOS(E_F) = 6.51 states/eV/cell
ΔH_f (0 K) = 0.96 eV/atom

Lattice parameters (Å, degrees): 4.8445 5.7676 4.8445 90.00 90.00 90.00
Fractional positions:
Ti1 0.0000 0.0000 0.5000
Ti2 0.5000 0.0000 0.0000
P1 0.5000 0.5000 0.5000
Rb1 0.0000 0.5000 0.0000
Pd1 0.0000 0.0000 0.0000

17.
Material: ZnAg2Ru
Method: DFT, PBE
State: relaxed

Properties
DFT total energy = -14.93 eV for the cell shown
SG = Pmmm (47)
DOS(E_F) = 3.94 states/eV/cell
ΔH_f (0 K) = 0.33 eV/atom

Lattice parameters (Å, degrees): 2.7174 4.2343 5.5446 90.00 90.00 90.00
Each line ends with the local moment (μB).
Fractional positions:
Zn1 0.5000 0.5000 0.7500  0.00
Ru1 0.5000 0.5000 0.2500  0.42
Ag1 0.0000 0.0000 0.9999  0.01
Ag2 0.0000 0.0000 0.5001  0.01

18.
Material: SrCu2Pt
Method: DFT, PBE
State: relaxed

Properties
DFT total energy = -16.22 eV for the cell shown
SG = Fm-3m (225)
DOS(E_F) = 1.51 states/eV/cell
energy relative to the lowest polymorph listed for this composition = 1.19 eV/f.u.
ΔH_f (0 K) = -0.08 eV/atom

Lattice parameters (Å, degrees): 4.6915 4.6915 4.6915 60.00 60.00 60.00
Fractional positions:
Pt1 0.5000 0.5000 0.5000
Cu1 0.2500 0.2500 0.2500
Cu2 0.7500 0.7500 0.7500
Sr1 0.0000 0.0000 0.0000

19.
Material: Ta2PbAu
Method: DFT, PBE
State: relaxed

Properties
DFT total energy = -29.27 eV for the cell shown
SG = Cm (8)
DOS(E_F) = 2.07 states/eV/cell
ΔH_f (0 K) = 0.36 eV/atom

Lattice parameters (Å, degrees): 5.3934 5.3934 5.1891 79.08 79.08 32.76
Fractional positions:
Ta1 0.7410 0.7410 0.7583
Ta2 0.0178 0.0178 0.9739
Au1 0.4864 0.4864 0.5165
Pb1 0.2549 0.2549 0.2513

20.
Material: ScAl2PPd
Method: DFT, PBE
State: relaxed

Properties
DFT total energy = -24.84 eV for the cell shown
SG = P4/mmm (123)
DOS(E_F) = 1.80 states/eV/cell
energy relative to the lowest polymorph listed for this composition = 0.00 eV/f.u.
ΔH_f (0 K) = -0.08 eV/atom

Lattice parameters (Å, degrees): 4.6140 5.1147 4.6140 90.00 90.00 90.00
Fractional positions:
Al1 0.5000 0.0000 0.0000
Al2 0.0000 0.0000 0.5000
Sc1 0.0000 0.5000 0.0000
Pd1 0.0000 0.0000 0.0000
P1 0.5000 0.5000 0.5000